(1)
# FeB3Os | Alexandria via LeMat-Bulk | PBE | optimized geometry
data_FeB3Os
_chemical_formula_sum 'Fe1 B3 Os1'
_cell_length_a 4.0358
_cell_length_b 4.0358
_cell_length_c 4.0358
_cell_angle_alpha 90.00
_cell_angle_beta 90.00
_cell_angle_gamma 90.00
_symmetry_space_group_name_H-M 'P m -3 m'
_symmetry_Int_Tables_number 221
_symmetry_space_group_name_Hall '-P 4 2 3'
loop_
_atom_site_label
_atom_site_type_symbol
_atom_site_fract_x
_atom_site_fract_y
_atom_site_fract_z
_atom_site_occupancy
Fe1 Fe 0.0000 0.0000 0.0000 1
B1 B 0.0000 0.5000 0.5000 1
Os1 Os 0.5000 0.5000 0.5000 1
# * energy relative to the lowest polymorph listed for this composition: 0.0000 eV per atom
# * E: -6.819 eV per atom
# * energy of formation: 543 kJ/mol of formula units
# * DOS at the Fermi energy: 0.54 states/eV/cell
# * magnetization: 3.0 μB per formula unit

(2)
# Ca2LaSbC | Alexandria via LeMat-Bulk | PBE | optimized geometry
data_Ca2LaSbC
_chemical_formula_sum 'Ca2 La1 Sb1 C1'
_cell_length_a 5.0423
_cell_length_b 5.0423
_cell_length_c 5.0955
_cell_angle_alpha 90.00
_cell_angle_beta 90.00
_cell_angle_gamma 90.00
_symmetry_space_group_name_H-M 'P 4/m m m'
_symmetry_Int_Tables_number 123
_symmetry_space_group_name_Hall '-P 4 2'
loop_
_atom_site_label
_atom_site_type_symbol
_atom_site_fract_x
_atom_site_fract_y
_atom_site_fract_z
_atom_site_occupancy
Ca1 Ca 0.0000 0.5000 0.0000 1
La1 La 0.0000 0.0000 0.5000 1
Sb1 Sb 0.5000 0.5000 0.5000 1
C1 C 0.0000 0.0000 0.0000 1
# * E: -5.001 eV per atom
# * DOS at the Fermi energy: 1.10 states/eV/cell
# * energy relative to the elements, uncorrected: -0.546 eV/atom
# * magnetization: 0.0 μB per formula unit

(3)
# Pr6SmTm | Alexandria via LeMat-Bulk | PBE | optimized geometry
data_Pr6SmTm
_chemical_formula_sum 'Pr12 Sm2 Tm2'
_cell_length_a 7.3938
_cell_length_b 10.3470
_cell_length_c 8.2230
_cell_angle_alpha 90.00
_cell_angle_beta 116.59
_cell_angle_gamma 90.00
_symmetry_space_group_name_H-M 'C 1 2/m 1'
_symmetry_Int_Tables_number 12
_symmetry_space_group_name_Hall '-C 2y'
loop_
_atom_site_label
_atom_site_type_symbol
_atom_site_fract_x
_atom_site_fract_y
_atom_site_fract_z
_atom_site_occupancy
Pr1 Pr 0.1269 0.2500 0.2542 1
Pr2 Pr 0.2490 0.0000 0.9977 1
Sm1 Sm 0.0000 0.5000 0.5000 1
Tm1 Tm 0.0000 0.0000 0.5000 1
# * energy relative to the lowest polymorph listed for this composition: 0.0021 eV per atom
# * E: -4.716 eV per atom
# * energy of formation: 13 kJ/mol of formula units
# * DOS at the Fermi energy: 25.84 states/eV/cell
# * magnetization: 0.0 μB per formula unit

(4)
# TlZn2GaCl6 | Alexandria via LeMat-Bulk | PBE | optimized geometry
data_TlZn2GaCl6
_chemical_formula_sum 'Tl4 Zn8 Ga4 Cl24'
_cell_length_a 13.8293
_cell_length_b 12.5927
_cell_length_c 7.1482
_cell_angle_alpha 90.00
_cell_angle_beta 103.83
_cell_angle_gamma 90.00
_symmetry_space_group_name_H-M 'C 1 2/c 1'
_symmetry_Int_Tables_number 15
_symmetry_space_group_name_Hall '-C 2yc'
loop_
_atom_site_label
_atom_site_type_symbol
_atom_site_fract_x
_atom_site_fract_y
_atom_site_fract_z
_atom_site_occupancy
Tl1 Tl 0.0000 0.1896 0.2500 1
Zn1 Zn 0.2150 0.0900 0.7569 1
Ga1 Ga 0.0000 0.3974 0.7500 1
Cl1 Cl 0.1175 0.4091 0.1639 1
Cl2 Cl 0.1454 0.2481 0.6573 1
Cl3 Cl 0.1455 0.0342 0.0130 1
# * E: -2.940 eV per atom
# * DOS at the Fermi energy: 0.00 states/eV/cell
# * energy relative to the elements, uncorrected: -1.038 eV/atom
# * magnetization: 0.0 μB per formula unit

(5)
# Ca2MgAl4Ga3 | Alexandria via LeMat-Bulk | PBE | optimized geometry
data_Ca2MgAl4Ga3
_chemical_formula_sum 'Ca2 Mg1 Al4 Ga3'
_cell_length_a 4.3070
_cell_length_b 4.3070
_cell_length_c 11.3557
_cell_angle_alpha 90.00
_cell_angle_beta 90.00
_cell_angle_gamma 90.00
_symmetry_space_group_name_H-M 'P -4 m 2'
_symmetry_Int_Tables_number 115
_symmetry_space_group_name_Hall 'P -4 -2'
loop_
_atom_site_label
_atom_site_type_symbol
_atom_site_fract_x
_atom_site_fract_y
_atom_site_fract_z
_atom_site_occupancy
Ca1 Ca 0.0000 0.5000 0.2434 1
Mg1 Mg 0.0000 0.0000 0.5000 1
Al1 Al 0.0000 0.0000 0.0000 1
Al2 Al 0.0000 0.5000 0.6446 1
Al3 Al 0.5000 0.5000 0.0000 1
Ga1 Ga 0.0000 0.5000 0.8660 1
Ga2 Ga 0.5000 0.5000 0.5000 1
# * E: -3.241 eV per atom
# * energy of formation: -266 kJ/mol of formula units
# * DOS at the Fermi energy: 3.18 states/eV/cell
# * magnetization: 0.0 μB per formula unit

(6)
# TlCrTc2 | Alexandria via LeMat-Bulk | PBE | optimized geometry
data_TlCrTc2
_chemical_formula_sum 'Tl4 Cr4 Tc8'
_cell_length_a 3.9088
_cell_length_b 3.9088
_cell_length_c 19.2356
_cell_angle_alpha 90.00
_cell_angle_beta 90.00
_cell_angle_gamma 90.00
_symmetry_space_group_name_H-M 'I -4 2 d'
_symmetry_Int_Tables_number 122
_symmetry_space_group_name_Hall 'I -4 2bw'
loop_
_atom_site_label
_atom_site_type_symbol
_atom_site_fract_x
_atom_site_fract_y
_atom_site_fract_z
_atom_site_occupancy
Tl1 Tl 0.0000 0.0000 0.0000 1
Cr1 Cr 0.0000 0.0000 0.5000 1
Tc1 Tc 0.1773 0.2500 0.6250 1
# * energy relative to the lowest polymorph listed for this composition: 0.5010 eV per atom
# * E: -7.249 eV per atom
# * energy of formation: 360 kJ/mol of formula units
# * DOS at the Fermi energy: 17.06 states/eV/cell
# * magnetization: 2.9 μB per formula unit

(7)
# KHgSe | Alexandria via LeMat-Bulk | PBE | optimized geometry
data_KHgSe
_chemical_formula_sum 'K2 Hg2 Se2'
_cell_length_a 4.1117
_cell_length_b 4.1117
_cell_length_c 10.9883
_cell_angle_alpha 90.00
_cell_angle_beta 90.00
_cell_angle_gamma 90.00
_symmetry_space_group_name_H-M 'I 4 m m'
_symmetry_Int_Tables_number 107
_symmetry_space_group_name_Hall 'I 4 -2'
loop_
_atom_site_label
_atom_site_type_symbol
_atom_site_fract_x
_atom_site_fract_y
_atom_site_fract_z
_atom_site_occupancy
K1 K 0.0000 0.0000 0.0000 1
Hg1 Hg 0.0000 0.0000 0.2921 1
Se1 Se 0.0000 0.0000 0.7043 1
# * energy relative to the lowest polymorph listed for this composition: 0.1391 eV per atom
# * E: -2.034 eV per atom
# * DOS at the Fermi energy: 5.13 states/eV/cell
# * energy relative to the elements, uncorrected: -0.406 eV/atom
# * magnetization: 0.0 μB per formula unit

(8)
# Cd2Sn3Hg8 | Alexandria via LeMat-Bulk | PBE | optimized geometry
data_Cd2Sn3Hg8
_chemical_formula_sum 'Cd2 Sn3 Hg8'
_cell_length_a 5.9645
_cell_length_b 4.4583
_cell_length_c 13.6955
_cell_angle_alpha 90.00
_cell_angle_beta 101.49
_cell_angle_gamma 90.00
_symmetry_space_group_name_H-M 'P 1 2/m 1'
_symmetry_Int_Tables_number 10
_symmetry_space_group_name_Hall '-P 2y'
loop_
_atom_site_label
_atom_site_type_symbol
_atom_site_fract_x
_atom_site_fract_y
_atom_site_fract_z
_atom_site_occupancy
Cd1 Cd 0.0108 0.0000 0.1122 1
Sn1 Sn 0.0000 0.0000 0.5000 1
Sn2 Sn 0.3403 0.5000 0.5785 1
Hg1 Hg 0.0604 0.5000 0.7413 1
Hg2 Hg 0.2907 0.5000 0.0421 1
Hg3 Hg 0.2994 0.0000 0.3451 1
Hg4 Hg 0.4358 0.0000 0.8222 1
# * E: -1.205 eV per atom
# * energy of formation: 57 kJ/mol of formula units
# * DOS at the Fermi energy: 3.63 states/eV/cell
# * magnetization: 0.0 μB per formula unit

(9)
# ScZn2Sn2 | Alexandria via LeMat-Bulk | PBE | optimized geometry
data_ScZn2Sn2
_chemical_formula_sum 'Sc2 Zn4 Sn4'
_cell_length_a 3.9365
_cell_length_b 3.9365
_cell_length_c 14.1927
_cell_angle_alpha 90.00
_cell_angle_beta 90.00
_cell_angle_gamma 90.00
_symmetry_space_group_name_H-M 'I 4/m m m'
_symmetry_Int_Tables_number 139
_symmetry_space_group_name_Hall '-I 4 2'
loop_
_atom_site_label
_atom_site_type_symbol
_atom_site_fract_x
_atom_site_fract_y
_atom_site_fract_z
_atom_site_occupancy
Sc1 Sc 0.0000 0.0000 0.0000 1
Zn1 Zn 0.0000 0.5000 0.2500 1
Sn1 Sn 0.0000 0.0000 0.3934 1
# * energy relative to the lowest polymorph listed for this composition: 0.2016 eV per atom
# * E: -3.451 eV per atom
# * energy of formation: -36 kJ/mol of formula units
# * DOS at the Fermi energy: 4.88 states/eV/cell
# * magnetization: 0.0 μB per formula unit

(10)
# RbGe2SO | Alexandria via LeMat-Bulk | PBE | optimized geometry
data_RbGe2SO
_chemical_formula_sum 'Rb1 Ge2 S1 O1'
_cell_length_a 4.4167
_cell_length_b 4.4167
_cell_length_c 6.2468
_cell_angle_alpha 90.00
_cell_angle_beta 90.00
_cell_angle_gamma 90.00
_symmetry_space_group_name_H-M 'P 4/m m m'
_symmetry_Int_Tables_number 123
_symmetry_space_group_name_Hall '-P 4 2'
loop_
_atom_site_label
_atom_site_type_symbol
_atom_site_fract_x
_atom_site_fract_y
_atom_site_fract_z
_atom_site_occupancy
Rb1 Rb 0.0000 0.0000 0.0000 1
Ge1 Ge 0.0000 0.5000 0.5000 1
S1 S 0.5000 0.5000 0.0000 1
O1 O 0.5000 0.5000 0.5000 1
# * E: -3.825 eV per atom
# * DOS at the Fermi energy: 3.87 states/eV/cell
# * energy relative to the elements, uncorrected: 0.032 eV/atom
# * magnetization: 0.3 μB per formula unit

(11)
# MnBeCo | Alexandria via LeMat-Bulk | PBE | optimized geometry
data_MnBeCo
_chemical_formula_sum 'Mn2 Be2 Co2'
_cell_length_a 2.4303
_cell_length_b 3.8201
_cell_length_c 6.2699
_cell_angle_alpha 90.00
_cell_angle_beta 96.65
_cell_angle_gamma 90.00
_symmetry_space_group_name_H-M 'P 1 21/m 1'
_symmetry_Int_Tables_number 11
_symmetry_space_group_name_Hall '-P 2yb'
loop_
_atom_site_label
_atom_site_type_symbol
_atom_site_fract_x
_atom_site_fract_y
_atom_site_fract_z
_atom_site_occupancy
Mn1 Mn 0.1254 0.2500 0.0917 1
Be1 Be 0.3807 0.2500 0.7524 1
Co1 Co 0.2613 0.7500 0.5731 1
# * energy relative to the lowest polymorph listed for this composition: 0.1018 eV per atom
# * E: -6.724 eV per atom
# * energy of formation: -16 kJ/mol of formula units
# * DOS at the Fermi energy: 6.45 states/eV/cell
# * magnetization: 0.0 μB per formula unit

(12)
# NdDy3Er6Sc2 | Alexandria via LeMat-Bulk | PBE | optimized geometry
data_NdDy3Er6Sc2
_chemical_formula_sum 'Nd2 Dy6 Er12 Sc4'
_cell_length_a 6.0419
_cell_length_b 10.4566
_cell_length_c 11.5775
_cell_angle_alpha 90.00
_cell_angle_beta 99.98
_cell_angle_gamma 90.00
_symmetry_space_group_name_H-M 'C 1 2/m 1'
_symmetry_Int_Tables_number 12
_symmetry_space_group_name_Hall '-C 2y'
loop_
_atom_site_label
_atom_site_type_symbol
_atom_site_fract_x
_atom_site_fract_y
_atom_site_fract_z
_atom_site_occupancy
Nd1 Nd 0.0000 0.0000 0.0000 1
Dy1 Dy 0.0000 0.1672 0.5000 1
Dy2 Dy 0.0000 0.5000 0.5000 1
Er1 Er 0.2459 0.5000 0.2466 1
Er2 Er 0.2500 0.1679 0.2468 1
Sc1 Sc 0.0000 0.3332 0.0000 1
# * E: -4.848 eV per atom
# * energy of formation: 43 kJ/mol of formula units
# * DOS at the Fermi energy: 33.42 states/eV/cell
# * magnetization: 0.0 μB per formula unit

> Number 6 is which compound?

TlCrTc2

> DOS at the Fermi energy of number 6 (TlCrTc2)?

17.06 states/eV/cell